Density functional theory data (PBE-GGA) for a relaxed RbLi2NiSn crystal.

Geometry as POSCAR:
```
RbLi2NiSn
1.0
5.351 0.000 0.000
0.000 4.922 0.000
0.000 0.000 5.351
Rb Li Ni Sn
1 2 1 1
Direct
0.500 0.500 0.500 Rb
0.000 0.000 0.500 Li
0.500 0.000 0.000 Li
0.000 0.500 0.000 Ni
0.000 0.000 0.000 Sn
```

Computed properties:
- DOS at the Fermi energy: 2.88 states/eV/cell
- Space-group type: P4/mmm (123)
- ΔE_f: 0.09 eV per atom

=====

Density functional theory data (PBE-GGA) for a relaxed ZnCoAs4 crystal.

Geometry as POSCAR:
```
ZnCoAs4
1.0
2.554 -4.693 1.189
-1.984 -4.746 -1.872
2.675 -2.730 -3.919
Co As Zn
1 4 1
Direct
0.750 0.750 0.750 Co
0.375 0.375 0.375 As
0.375 0.375 0.875 As
0.875 0.375 0.375 As
0.375 0.875 0.375 As
0.000 0.000 0.000 Zn
```

Computed properties:
- DOS at the Fermi energy: 3.17 states/eV/cell
- Space-group type: F-43m (216)
- ΔE_f: 0.69 eV per atom

=====

Density functional theory data (PBE-GGA) for a relaxed HfMgBeRh crystal.

Geometry as POSCAR:
```
HfMgBeRh
1.0
-4.060 0.655 -1.733
-3.573 -1.860 1.921
-2.959 2.554 2.153
Hf Be Rh Mg
1 1 1 1
Direct
0.500 0.500 0.500 Hf
0.750 0.750 0.750 Be
0.250 0.250 0.250 Rh
0.000 0.000 0.000 Mg
```

Computed properties:
- DOS at the Fermi energy: 3.14 states/eV/cell
- Space-group type: F-43m (216)
- ΔE_f: -0.33 eV per atom

=====

Density functional theory data (PBE-GGA) for a relaxed BeNbPO2 crystal.

Geometry as POSCAR:
```
BeNbPO2
1.0
-3.037 -2.360 0.032
1.745 -2.280 -2.559
2.209 -2.788 3.992
O Nb P Be
2 1 1 1
Direct
0.500 0.000 0.000 O
0.000 0.500 0.000 O
0.000 0.000 0.000 Nb
0.000 0.000 0.500 P
0.500 0.500 0.500 Be
```

Computed properties:
- DOS at the Fermi energy: 0.95 states/eV/cell
- Space-group type: P4/mmm (123)
- Polymorph energy (0 for the lowest one): 0 meV/atom
- ΔE_f (raw): -942.2 meV/atom

=====

Density functional theory data (PBE-GGA) for a relaxed Ac2La3Pb4 crystal.

Geometry as POSCAR:
```
Ac2La3Pb4
1.0
-0.304 7.804 -3.885
-1.536 -6.671 -5.809
-8.731 0.515 1.718
Ac Pb La
4 8 6
Direct
0.439 0.804 0.680 Ac
0.939 0.804 0.820 Ac
0.061 0.196 0.180 Ac
0.561 0.196 0.320 Ac
0.168 0.912 0.460 Pb
0.633 0.504 0.636 Pb
0.832 0.088 0.540 Pb
0.367 0.496 0.364 Pb
0.668 0.912 0.040 Pb
0.133 0.504 0.864 Pb
0.332 0.088 0.960 Pb
0.867 0.496 0.136 Pb
0.500 0.500 0.000 La
0.266 0.759 0.160 La
0.734 0.241 0.840 La
0.000 0.500 0.500 La
0.234 0.241 0.660 La
0.766 0.759 0.340 La
```

Computed properties:
- DOS at the Fermi energy: 14.62 states/eV/cell
- Space-group type: P2_1/c (14)
- ΔE_f: -0.62 eV per atom
- Polymorph energy (0 for the lowest one): 0 meV/atom

=====

Density functional theory data (PBE-GGA) for a relaxed HgTePb3 crystal.

Geometry as POSCAR:
```
HgTePb3
1.0
5.739 0.000 0.000
0.000 5.739 0.000
0.000 0.000 5.739
Hg Pb Te
1 3 1
Direct
0.000 0.000 0.000 Hg
0.000 0.500 0.000 Pb
0.500 0.000 0.000 Pb
0.000 0.000 0.500 Pb
0.500 0.500 0.500 Te
```

Computed properties:
- DOS at the Fermi energy: 4.20 states/eV/cell
- Space-group type: Pm-3m (221)
- Polymorph energy (0 for the lowest one): 0 meV/atom
- ΔE_f (raw): 369.0 meV/atom

=====

Density functional theory data (PBE-GGA) for a relaxed Zr2MoI2 crystal.

Geometry as POSCAR:
```
Zr2MoI2
1.0
-6.927 1.119 -2.839
-2.886 -4.691 5.192
-0.504 2.963 2.397
Mo Zr I
2 4 4
Direct
0.500 0.500 0.000 Mo
0.000 0.000 0.000 Mo
0.848 0.348 0.500 Zr
0.348 0.152 0.500 Zr
0.652 0.848 0.500 Zr
0.152 0.652 0.500 Zr
0.846 0.654 0.000 I
0.346 0.846 0.000 I
0.154 0.346 0.000 I
0.654 0.154 0.000 I
```

Computed properties:
- DOS at the Fermi energy: 9.54 states/eV/cell
- Space-group type: P4/mbm (127)
- Polymorph energy (0 for the lowest one): 0 meV/atom
- ΔE_f (raw): 549.7 meV/atom

=====

Density functional theory data (PBE-GGA) for a relaxed ScAgIrO6 crystal.

Geometry as POSCAR:
```
ScAgIrO6
1.0
-1.053 4.939 -1.651
-2.017 -1.752 4.592
7.469 3.082 4.457
O Sc Ir Ag
12 2 2 2
Direct
0.647 0.622 0.133 O
0.975 0.622 0.367 O
0.025 0.647 0.867 O
0.353 0.378 0.867 O
0.378 0.353 0.367 O
0.025 0.378 0.633 O
0.378 0.025 0.133 O
0.622 0.975 0.867 O
0.647 0.025 0.367 O
0.353 0.975 0.633 O
0.975 0.353 0.133 O
0.622 0.647 0.633 O
0.667 0.333 0.750 Sc
0.333 0.667 0.250 Sc
0.333 0.667 0.750 Ir
0.667 0.333 0.250 Ir
0.000 0.000 0.500 Ag
0.000 0.000 0.000 Ag
```

Computed properties:
- DOS at the Fermi energy: 10.24 states/eV/cell
- Space-group type: P-31c (163)
- ΔE_f (raw): -1169.5 meV/atom

=====

Density functional theory data (PBE-GGA) for a relaxed NaLaPm2S4 crystal.

Geometry as POSCAR:
```
NaLaPm2S4
1.0
4.063 0.000 0.000
0.000 7.016 0.119
0.000 -2.456 6.696
La Na S Pm
1 1 4 2
Direct
0.000 0.000 0.000 La
0.500 0.500 0.000 Na
0.500 0.745 0.745 S
0.000 0.753 0.257 S
0.500 0.255 0.255 S
0.000 0.247 0.743 S
0.000 0.500 0.500 Pm
0.500 0.000 0.500 Pm
```

Computed properties:
- DOS at the Fermi energy: 2.60 states/eV/cell
- Space-group type: P2/m (10)
- ΔE_f (raw): -1956.4 meV/atom

=====

Density functional theory data (PBE-GGA) for a relaxed TlTePH crystal.

Geometry as POSCAR:
```
TlTePH
1.0
-4.599 0.660 -0.189
-1.279 -4.602 -0.965
-0.875 -0.952 4.822
H Te Tl P
1 1 1 1
Direct
0.034 0.560 0.274 H
0.585 0.141 0.321 Te
0.461 0.638 0.832 Tl
0.044 0.344 0.477 P
```

Computed properties:
- DOS at the Fermi energy: 0.77 states/eV/cell
- Space-group type: P1 (1)
- Polymorph energy (0 for the lowest one): 0 meV/atom

=====

Density functional theory data (PBE-GGA) for a relaxed Ba4Ag2S crystal.

Geometry as POSCAR:
```
Ba4Ag2S
1.0
6.247 0.000 0.000
0.000 6.247 0.000
-3.124 -3.124 7.974
Ba Ag S
4 2 1
Direct
0.500 0.000 0.000 Ba
0.198 0.198 0.395 Ba
0.802 0.802 0.605 Ba
0.000 0.500 0.000 Ba
0.406 0.406 0.813 Ag
0.594 0.594 0.187 Ag
0.000 0.000 0.000 S
```

Computed properties:
- DOS at the Fermi energy: 5.93 states/eV/cell
- Space-group type: I4/mmm (139)
- ΔE_f (raw): -608.0 meV/atom

=====

Density functional theory data (PBE-GGA) for a relaxed DyPaPt crystal.

Geometry as POSCAR:
```
DyPaPt
1.0
3.516 0.000 0.000
0.000 4.771 0.000
0.000 -2.385 4.132
Pa Dy Pt
1 1 1
Direct
0.289 0.667 0.333 Pa
0.672 0.333 0.667 Dy
0.039 0.000 0.000 Pt
```

Computed properties:
- DOS at the Fermi energy: 3.25 states/eV/cell
- Space-group type: P3m1 (156)
- ΔE_f: -0.35 eV per atom
- Polymorph energy (0 for the lowest one): 37 meV/atom